VASP calculation (GGA-PBE) on a relaxed structure of LiAlGe.

a b c (Å): 4.1884 4.1884 6.2533
angles (deg): 90.00 90.00 90.00
Closest atoms and distances in Å follow each position.
Element x y z (fractional)
Al: 0.0000 0.0000 0.2500  4 Ge 2.61
Ge: 0.0000 0.5000 0.5000  4 Al 2.61, 4 Li 2.61
Li: 0.5000 0.5000 0.2500  4 Ge 2.61
Al: 0.0000 0.0000 0.7500  4 Ge 2.61
Li: 0.5000 0.5000 0.7500  4 Ge 2.61
Ge: 0.5000 0.0000 0.0000  4 Li 2.61, 4 Al 2.61

Values from the calculation:
Energy of formation = -106 meV/atom
Space-group type = P4_2/mmc

***

VASP calculation (GGA-PBE) on a relaxed structure of CaPdCS2.

a b c (Å): 4.2002 4.6278 4.2002
angles (deg): 90.00 90.00 90.00
Closest atoms and distances in Å follow each position.
Element x y z (fractional)
Ca: 0.0000 0.5000 0.0000  2 C 2.31
C: 0.0000 0.0000 0.0000  4 S 2.10, 2 Ca 2.31
S: 0.0000 0.0000 0.5000  2 C 2.10
S: 0.5000 0.0000 0.0000  2 C 2.10
Pd: 0.5000 0.5000 0.5000  4 Ca 2.97, 8 S 3.12

Values from the calculation:
Space-group type = P4/mmm
E_form (uncorrected) = 0.57 eV per atom

***

VASP calculation (GGA-PBE) on a relaxed structure of LaTcN2F.

a b c (Å): 4.5760 4.5760 4.5002
angles (deg): 90.00 90.00 90.00
Closest atoms and distances in Å follow each position.
Element x y z (fractional)
La: 0.0000 0.0000 0.0000  2 F 2.25, 4 N 2.29
F: 0.0000 0.0000 0.5000  2 La 2.25
N: 0.0000 0.5000 0.0000  2 La 2.29
N: 0.5000 0.0000 0.0000  2 La 2.29
Tc: 0.5000 0.5000 0.5000  8 N 3.21, 4 F 3.24

Values from the calculation:
Relative energy among the computed polymorphs = 1569 meV/atom
Space-group type = P4/mmm
E_form (uncorrected) = 0.52 eV per atom

***

VASP calculation (GGA-PBE) on a relaxed structure of LaCePrEr.

a b c (Å): 5.7861 5.7861 5.7861
angles (deg): 60.00 60.00 60.00
Closest atoms and distances in Å follow each position.
Element x y z (fractional)
Ce: 0.0000 0.0000 0.0000  4 La 3.54, 4 Pr 3.54
Er: 0.5000 0.5000 0.5000  4 La 3.54, 4 Pr 3.54
Pr: 0.2500 0.2500 0.2500  4 Ce 3.54, 4 Er 3.54
La: 0.7500 0.7500 0.7500  4 Ce 3.54, 4 Er 3.54

Values from the calculation:
Energy of formation = 197 meV/atom
Space-group type = F-43m

***

VASP calculation (GGA-PBE) on a relaxed structure of Pm2Nd5Sm4.

a b c (Å): 3.5652 9.3679 12.8344
angles (deg): 111.40 97.98 90.00
Closest atoms and distances in Å follow each position.
Element x y z (fractional)
Sm: 0.0000 0.3044 0.0000  4 Nd 3.36-3.60, 7 Sm 3.42-3.67
Nd: 0.1465 0.3458 0.2930  1 Pm 3.45, 3 Sm 3.54-3.60, 3 Nd 3.57-3.73
Sm: 0.0000 0.6956 0.0000  4 Nd 3.36-3.60, 7 Sm 3.42-3.67
Nd: 0.8535 0.6542 0.7070  1 Pm 3.45, 3 Sm 3.54-3.60, 3 Nd 3.57-3.73
Sm: 0.4037 0.4038 0.8075  1 Pm 3.18, 4 Sm 3.42, 4 Nd 3.54
Nd: 0.8535 0.0528 0.7070  1 Pm 3.45, 3 Sm 3.54-3.60, 3 Nd 3.57-3.73
Nd: 0.1465 0.9472 0.2930  1 Pm 3.45, 3 Sm 3.54-3.60, 3 Nd 3.57-3.73
Nd: 0.5000 0.0000 0.0000  4 Sm 3.36, 2 Nd 3.57
Sm: 0.5963 0.5962 0.1925  1 Pm 3.18, 4 Sm 3.42, 4 Nd 3.54
Pm: 0.7307 0.7307 0.4613  1 Sm 3.18, 2 Nd 3.45
Pm: 0.2693 0.2693 0.5387  1 Sm 3.18, 2 Nd 3.45

Values from the calculation:
Energy of formation = 200 meV/atom
Relative energy among the computed polymorphs = 68 meV/atom
Space-group type = Immm

***

VASP calculation (GGA-PBE) on a relaxed structure of Cu2AgF.

a b c (Å): 6.4472 6.4472 5.2897
angles (deg): 52.45 52.45 90.00
Closest atoms and distances in Å follow each position.
Element x y z (fractional)
Cu: 0.3750 0.4311 0.7500  2 F 2.15
F: 0.5000 0.5000 0.0000  4 Cu 2.15
Ag: 0.7500 0.2500 0.5000  8 Cu 2.63-2.87, 2 F 2.68
Cu: 0.5689 0.1250 0.2500  2 F 2.15
Ag: 0.0000 0.0000 0.0000  8 Cu 2.63-2.87, 2 F 2.68
F: 0.2500 0.7500 0.5000  4 Cu 2.15
Cu: 0.1811 0.6250 0.2500  2 F 2.15
Cu: 0.8750 0.8189 0.7500  2 F 2.15

Values from the calculation:
Space-group type = I-42d
E_form (uncorrected) = -0.20 eV per atom